[1]
Tb4Pr7Nd after structural relaxation. Source: Alexandria via LeMat-Bulk, functional PBE.

a b c (Å): 7.3821 6.3950 11.7158
angles (deg): 79.55 50.95 90.01
Positions (direct):
Tb 0.4128 0.7227 0.3333
Tb 0.5872 0.2773 0.6667
Tb 0.8351 0.7804 0.6648
Tb 0.1649 0.2196 0.3352
Pr 0.7448 0.5001 0.0022
Pr 0.2552 0.4999 0.9978
Pr 0.0832 0.2798 0.6649
Pr 0.9168 0.7202 0.3351
Pr 0.3342 0.7774 0.6660
Pr 0.5000 0.0000 0.0000
Pr 0.6658 0.2226 0.3340
Nd 0.0000 0.0000 0.0000

Crystal system: triclinic
Raw total energy in eV/atom: -4.72
Relative energy among the computed polymorphs in meV/atom: 0

---

[2]
Tb3Pr3Nd after structural relaxation. Source: Alexandria via LeMat-Bulk, functional PBE.

a b c (Å): 5.8649 9.7691 9.7691
angles (deg): 120.00 90.00 90.00
Positions (direct):
Tb 0.2500 0.8130 0.7671
Tb 0.2500 0.2329 0.0459
Tb 0.2500 0.9541 0.1870
Tb 0.7500 0.1870 0.2329
Tb 0.7500 0.7671 0.9541
Tb 0.7500 0.0459 0.8130
Pr 0.7500 0.6220 0.5266
Pr 0.7500 0.4734 0.0955
Pr 0.7500 0.9045 0.3780
Pr 0.2500 0.3780 0.4734
Pr 0.2500 0.5266 0.9045
Pr 0.2500 0.0955 0.6220
Nd 0.2500 0.6667 0.3333
Nd 0.7500 0.3333 0.6667

Crystal system: hexagonal
Raw total energy in eV/atom: -4.69
Relative energy among the computed polymorphs in meV/atom: 0

---

[3]
Tb2Pr3Nd6 after structural relaxation. Source: Alexandria via LeMat-Bulk, functional PBE.

a b c (Å): 4.8762 4.8762 17.2930
angles (deg): 98.11 98.11 90.00
Positions (direct):
Tb 0.4548 0.4548 0.9096
Tb 0.5452 0.5452 0.0904
Pr 0.0000 0.0000 0.0000
Pr 0.7980 0.7980 0.5959
Pr 0.2020 0.2020 0.4041
Nd 0.1188 0.6188 0.2377
Nd 0.6188 0.1188 0.2377
Nd 0.8812 0.3812 0.7623
Nd 0.3812 0.8812 0.7623
Nd 0.6957 0.6957 0.3914
Nd 0.3043 0.3043 0.6086

Crystal system: tetragonal
Raw total energy in eV/atom: -4.48
Relative energy among the computed polymorphs in meV/atom: 251

---

[4]
Tb9Pr2Nd after structural relaxation. Source: Alexandria via LeMat-Bulk, functional PBE.

a b c (Å): 3.5257 11.3839 11.3839
angles (deg): 120.00 90.00 90.00
Positions (direct):
Tb 0.0000 0.0000 0.5000
Tb 0.0000 0.5000 0.5000
Tb 0.0000 0.5000 0.0000
Tb 0.5000 0.3485 0.1743
Tb 0.5000 0.1743 0.8257
Tb 0.5000 0.1743 0.3485
Tb 0.5000 0.8257 0.6515
Tb 0.5000 0.8257 0.1743
Tb 0.5000 0.6515 0.8257
Pr 0.0000 0.3333 0.6667
Pr 0.0000 0.6667 0.3333
Nd 0.0000 0.0000 0.0000

Crystal system: hexagonal
Raw total energy in eV/atom: -4.61
Relative energy among the computed polymorphs in meV/atom: 40